# CuTcNi14

A relaxed structure of CuTcNi14 (GGA-PBE, the Alexandria database).

Unit cell a=8.2031 b=5.0107 c=5.0107 alpha=60.34 beta=90.00 gamma=90.00
Fractional positions:
Cu: 0.0000 0.0000 0.0000
Tc: 0.0000 0.4999 0.4999
Ni: 0.0000 0.0011 0.4971
Ni: 0.0000 0.4971 0.0011
Ni: 0.2508 0.3319 0.3319
Ni: 0.2519 0.3321 0.8317
Ni: 0.2519 0.8317 0.3321
Ni: 0.2531 0.8309 0.8309
Ni: 0.5000 0.1645 0.1645
Ni: 0.5000 0.1646 0.6639
Ni: 0.5000 0.6639 0.1646
Ni: 0.5000 0.6645 0.6645
Ni: 0.7469 0.8309 0.8309
Ni: 0.7481 0.3321 0.8317
Ni: 0.7481 0.8317 0.3321
Ni: 0.7492 0.3319 0.3319

Output
The calculated density comes out at 9123 kg/m3. As for the volume: 179.0 Å³/f.u. The calculation puts the total magnetization at 7.04 μB/f.u. The final energy comes out at -5.91 eV/atom.